[1]
A geometry-optimized ScBe3Sn structure. Source: Alexandria, functional GGA-PBEsol.

Output
The energy of formation comes out at 7.9 eV/f.u.

Cell: 4.682 4.682 4.682 Å, 90.00 90.00 90.00°
Last column: magnetic moment on the atom in μB.
Sites, in units of the cell vectors:
Be 0.500 0.000 0.000  0.03
Be 0.000 0.000 0.500  0.03
Sn 0.500 0.500 0.500  0.00
Sc 0.000 0.000 0.000  0.24
Be 0.000 0.500 0.000  0.03

[2]
A geometry-optimized ReMoW2 structure. Source: Alexandria, functional GGA-PBEsol.

Output
The energy of formation comes out at 0.1 eV/f.u.

Cell: 3.127 3.127 6.259 Å, 90.00 90.00 90.00°
Sites, in units of the cell vectors:
Mo 0.500 0.500 0.000
Re 0.500 0.500 0.500
W 0.000 0.000 0.248
W 0.000 0.000 0.752

[3]
A geometry-optimized TcRh2Cl structure. Source: Alexandria, functional GGA-PBEsol.

Output
For the uncorrected formation energy, the calculation gives 0.369 eV/atom.

Cell: 2.783 3.934 5.202 Å, 90.00 102.94 90.00°
Sites, in units of the cell vectors:
Rh 0.879 0.000 0.751
Rh 0.121 0.000 0.249
Tc 0.500 0.500 0.000
Cl 0.500 0.500 0.500

Please write out number 3 again, unchanged.
A geometry-optimized TcRh2Cl structure. Source: Alexandria, functional GGA-PBEsol.

Output
For the uncorrected formation energy, the calculation gives 0.369 eV/atom.

Cell: 2.783 3.934 5.202 Å, 90.00 102.94 90.00°
Sites, in units of the cell vectors:
Rh 0.879 0.000 0.751
Rh 0.121 0.000 0.249
Tc 0.500 0.500 0.000
Cl 0.500 0.500 0.500